Record 1
DFT (GGA-PBE) results for a relaxed structure of InSbOs2.

Its total energy is -27.211 eV/f.u. The calculation puts the raw formation energy at 527 meV/atom.

abc: 4.5974 4.5974 4.5974
angles: 60.00 60.00 60.00
Element x y z (fractional)
In: 0.0000 0.0000 0.0000
Sb: 0.5000 0.5000 0.5000
Os: 0.2500 0.2500 0.2500
Os: 0.7500 0.7500 0.7500

Record 2
DFT (GGA-PBE) results for a relaxed structure of InSnSb2Os.

Its total energy is -17.064 eV/f.u. The calculation puts the raw formation energy at 1830 meV/atom.

abc: 5.4726 5.4726 5.4166
angles: 90.00 90.00 90.00
Element x y z (fractional)
In: 0.0000 0.0000 0.0000
Sn: 0.0000 0.0000 0.5000
Sb: 0.0000 0.5000 0.0000
Sb: 0.5000 0.0000 0.0000
Os: 0.5000 0.5000 0.5000

Record 3
DFT (GGA-PBE) results for a relaxed structure of InTcSb2Os.

Its total energy is -20.960 eV/f.u. The calculation puts the raw formation energy at 2324 meV/atom.

abc: 5.3550 5.3550 4.9936
angles: 90.00 90.00 90.00
Element x y z (fractional)
In: 0.0000 0.0000 0.0000
Tc: 0.0000 0.0000 0.5000
Sb: 0.0000 0.5000 0.0000
Sb: 0.5000 0.0000 0.0000
Os: 0.5000 0.5000 0.5000

Q: Which of these has the lowest total energy?
A: InSbOs2